! NbVH GGA-PBE relaxed; values from VASP
&SYSTEM
  ibrav = 0, nat = 3, ntyp = 3
/
ATOMIC_SPECIES
Nb 92.91 Nb.upf
V 50.94 V.upf
H 1.01 H.upf
CELL_PARAMETERS angstrom
0.0000 2.6204 2.6204
2.6204 0.0000 2.6204
2.6204 2.6204 0.0000
ATOMIC_POSITIONS crystal
Nb 0.0000 0.0000 0.0000
V 0.5000 0.5000 0.5000
H 0.7500 0.7500 0.7500
! * SG: F-43m, No. 216

---

! Nb2VH4 GGA-PBE relaxed; values from VASP
&SYSTEM
  ibrav = 0, nat = 14, ntyp = 3
/
ATOMIC_SPECIES
Nb 92.91 Nb.upf
V 50.94 V.upf
H 1.01 H.upf
CELL_PARAMETERS angstrom
5.2590 0.0000 0.0000
0.0000 3.8856 0.0000
-0.9601 0.0000 6.1928
ATOMIC_POSITIONS crystal
Nb 0.1184 0.2500 0.3588
Nb 0.2570 0.2500 0.9173
Nb 0.7430 0.7500 0.0827
Nb 0.8816 0.7500 0.6412
V 0.3826 0.7500 0.6242
V 0.6174 0.2500 0.3758
H 0.0660 0.7500 0.9365
H 0.1025 0.7500 0.3995
H 0.4090 0.5102 0.1779
H 0.4090 0.9898 0.1779
H 0.5910 0.0102 0.8221
H 0.5910 0.4898 0.8221
H 0.8975 0.2500 0.6005
H 0.9340 0.2500 0.0635
! * SG: P2_1/m, No. 11

---

Number 1: DOS at the Fermi energy 0.39 states/eV per atom, E above lowest polymorph 57.0 kJ/mol of atoms. Number 2: DOS at the Fermi energy 0.43 states/eV per atom, E above lowest polymorph 3.9 kJ/mol of atoms.